# 1
Here is a relaxed structure of Ga2SnPt2 from Alexandria. Energies are from GGA-PBE.

Calculated values
Energy (eV per atom): -4.913
E above lowest polymorph (meV/atom): 0
Formation energy from the elements (eV/atom): -0.49
Fermi-level density of states (states/eV/cell): 3.4
Magnetization (μB per formula unit): 0.0

Lattice parameters (Å, degrees): 3.8377 3.8377 12.4480 90.00 90.00 90.00
Space group I4/mmm (No. 139)
Unique sites:
Ga: 0.0000 0.5000 0.2500 (multiplicity 4)
Sn: 0.0000 0.0000 0.0000 (multiplicity 2)
Pt: 0.0000 0.0000 0.3872 (multiplicity 4)

# 2
Here is a relaxed structure of GaSnPt6 from Alexandria. Energies are from GGA-PBE.

Calculated values
Energy (eV per atom): -5.840
E above lowest polymorph (meV/atom): 0
Formation energy from the elements (eV/atom): -0.43
Fermi-level density of states (states/eV/cell): 6.0
Magnetization (μB per formula unit): 0.0

Lattice parameters (Å, degrees): 4.0048 4.0048 8.0011 90.00 90.00 90.00
Space group P4/mmm (No. 123)
Unique sites:
Ga: 0.0000 0.0000 0.0000 (multiplicity 1)
Sn: 0.0000 0.0000 0.5000 (multiplicity 1)
Pt: 0.0000 0.5000 0.2409 (multiplicity 4)
Pt: 0.5000 0.5000 0.0000 (multiplicity 1)
Pt: 0.5000 0.5000 0.5000 (multiplicity 1)

# 3
Here is a relaxed structure of Ga2SnPt2 from Alexandria. Energies are from GGA-PBE.

Calculated values
Energy (eV per atom): -4.775
E above lowest polymorph (meV/atom): 138
Formation energy from the elements (eV/atom): -0.35
Fermi-level density of states (states/eV/cell): 4.2
Magnetization (μB per formula unit): 0.0

Lattice parameters (Å, degrees): 7.9415 7.9415 2.8204 90.00 90.00 90.00
Space group P4/mbm (No. 127)
Unique sites:
Ga: 0.1338 0.3662 0.0000 (multiplicity 4)
Sn: 0.0000 0.0000 0.0000 (multiplicity 2)
Pt: 0.1593 0.6593 0.5000 (multiplicity 4)

# 4
Here is a relaxed structure of Ga5SnPt3 from Alexandria. Energies are from GGA-PBE.

Calculated values
Energy (eV per atom): -4.567
Formation energy from the elements (eV/atom): -0.43
Fermi-level density of states (states/eV/cell): 15.7
Magnetization (μB per formula unit): 0.0

Lattice parameters (Å, degrees): 11.2740 8.6342 9.4484 90.00 120.11 90.00
Space group C2/m (No. 12)
Unique sites:
Ga: 0.0000 0.2109 0.0000 (multiplicity 4)
Ga: 0.0763 0.0000 0.3480 (multiplicity 4)
Ga: 0.1646 0.2874 0.6762 (multiplicity 8)
Ga: 0.2413 0.5000 0.0359 (multiplicity 4)
Sn: 0.1098 0.5000 0.3169 (multiplicity 4)
Pt: 0.0000 0.5000 0.0000 (multiplicity 2)
Pt: 0.0000 0.5000 0.5000 (multiplicity 2)
Pt: 0.1453 0.0000 0.6533 (multiplicity 4)
Pt: 0.1707 0.0000 0.1600 (multiplicity 4)

# 5
Here is a relaxed structure of Ga2Sn2Pt3 from Alexandria. Energies are from GGA-PBE.

Calculated values
Energy (eV per atom): -5.076
Formation energy from the elements (eV/atom): -0.48
Fermi-level density of states (states/eV/cell): 5.6
Magnetization (μB per formula unit): 0.0

Lattice parameters (Å, degrees): 12.6684 4.2256 5.3370 90.00 104.43 90.00
Space group C2/m (No. 12)
Unique sites:
Ga: 0.1878 0.0000 0.3289 (multiplicity 4)
Sn: 0.0687 0.5000 0.7618 (multiplicity 4)
Pt: 0.0000 0.0000 0.0000 (multiplicity 2)
Pt: 0.2114 0.0000 0.8160 (multiplicity 4)

# 6
Here is a relaxed structure of GaSnPt2 from Alexandria. Energies are from GGA-PBE.

Calculated values
Energy (eV per atom): -5.199
Formation energy from the elements (eV/atom): -0.42
Fermi-level density of states (states/eV/cell): 7.4
Magnetization (μB per formula unit): 0.0

Lattice parameters (Å, degrees): 4.1647 4.1647 14.8719 90.00 90.00 120.00
Space group R3m (No. 160, hexagonal axes)
Unique sites:
Ga: 0.0000 0.0000 0.0000 (multiplicity 3)
Sn: 0.0000 0.0000 0.1852 (multiplicity 3)
Pt: 0.0000 0.0000 0.4102 (multiplicity 3)
Pt: 0.0000 0.0000 0.6124 (multiplicity 3)

# 7
Here is a relaxed structure of Ga2SnPt3 from Alexandria. Energies are from GGA-PBE.

Calculated values
Energy (eV per atom): -5.261
Formation energy from the elements (eV/atom): -0.56
Fermi-level density of states (states/eV/cell): 2.8
Magnetization (μB per formula unit): 0.0

Lattice parameters (Å, degrees): 6.5126 4.1298 8.3462 90.00 93.42 90.00
Space group P2_1/m (No. 11)
Unique sites:
Ga: 0.0977 0.2500 0.3753 (multiplicity 2)
Ga: 0.1907 0.2500 0.0154 (multiplicity 2)
Sn: 0.4254 0.2500 0.7086 (multiplicity 2)
Pt: 0.1789 0.7500 0.1837 (multiplicity 2)
Pt: 0.2022 0.7500 0.8412 (multiplicity 2)
Pt: 0.2652 0.7500 0.5129 (multiplicity 2)

# 8
Here is a relaxed structure of GaSnPt2 from Alexandria. Energies are from GGA-PBE.

Calculated values
Energy (eV per atom): -5.398
Formation energy from the elements (eV/atom): -0.62
Fermi-level density of states (states/eV/cell): 4.4
Magnetization (μB per formula unit): 0.0

Lattice parameters (Å, degrees): 6.6949 5.5260 8.0878 90.00 90.00 90.00
Space group Pnma (No. 62)
Unique sites:
Ga: 0.1183 0.2500 0.1622 (multiplicity 4)
Sn: 0.0644 0.2500 0.6289 (multiplicity 4)
Pt: 0.2066 0.5017 0.8974 (multiplicity 8)

# 9
Here is a relaxed structure of Ga3SnPt from Alexandria. Energies are from GGA-PBE.

Calculated values
Energy (eV per atom): -3.913
E above lowest polymorph (meV/atom): 0
Formation energy from the elements (eV/atom): -0.09
Fermi-level density of states (states/eV/cell): 3.4
Magnetization (μB per formula unit): 0.0

Lattice parameters (Å, degrees): 4.8790 4.8790 4.8790 90.00 90.00 90.00
Space group Pm-3m (No. 221)
Unique sites:
Ga: 0.0000 0.0000 0.5000 (multiplicity 3)
Sn: 0.5000 0.5000 0.5000 (multiplicity 1)
Pt: 0.0000 0.0000 0.0000 (multiplicity 1)

# 10
Here is a relaxed structure of GaSnPt2 from Alexandria. Energies are from GGA-PBE.

Calculated values
Energy (eV per atom): -5.115
Formation energy from the elements (eV/atom): -0.34
Fermi-level density of states (states/eV/cell): 5.6
Magnetization (μB per formula unit): 0.0

Lattice parameters (Å, degrees): 6.5048 6.5048 6.5048 90.00 90.00 90.00
Space group Fm-3m (No. 225)
Unique sites:
Ga: 0.0000 0.0000 0.0000 (multiplicity 4)
Sn: 0.0000 0.0000 0.5000 (multiplicity 4)
Pt: 0.2500 0.2500 0.2500 (multiplicity 8)

# 11
Here is a relaxed structure of GaSn3Pt from Alexandria. Energies are from GGA-PBE.

Calculated values
Energy (eV per atom): -4.049
E above lowest polymorph (meV/atom): 0
Formation energy from the elements (eV/atom): 0.17
Fermi-level density of states (states/eV/cell): 5.0
Magnetization (μB per formula unit): 0.0

Lattice parameters (Å, degrees): 5.2663 5.2663 5.2663 90.00 90.00 90.00
Space group Pm-3m (No. 221)
Unique sites:
Ga: 0.0000 0.0000 0.0000 (multiplicity 1)
Sn: 0.0000 0.5000 0.5000 (multiplicity 3)
Pt: 0.5000 0.5000 0.5000 (multiplicity 1)

# 12
Here is a relaxed structure of Ga3SnPt12 from Alexandria. Energies are from GGA-PBE.

Calculated values
Energy (eV per atom): -5.787
Formation energy from the elements (eV/atom): -0.44
Fermi-level density of states (states/eV/cell): 12.4
Magnetization (μB per formula unit): 0.0

Lattice parameters (Å, degrees): 3.9789 3.9789 15.8545 90.00 90.00 90.00
Space group P4/mmm (No. 123)
Unique sites:
Ga: 0.0000 0.0000 0.0000 (multiplicity 1)
Ga: 0.0000 0.0000 0.2445 (multiplicity 2)
Sn: 0.0000 0.0000 0.5000 (multiplicity 1)
Pt: 0.0000 0.5000 0.1231 (multiplicity 4)
Pt: 0.0000 0.5000 0.3684 (multiplicity 4)
Pt: 0.5000 0.5000 0.0000 (multiplicity 1)
Pt: 0.5000 0.5000 0.2462 (multiplicity 2)
Pt: 0.5000 0.5000 0.5000 (multiplicity 1)